Record 1
# IrPbCl2 | the Alexandria database | PBE-GGA | optimized geometry
data_IrPbCl2
_chemical_formula_sum 'Ir2 Pb2 Cl4'
_cell_length_a 5.7654
_cell_length_b 11.0207
_cell_length_c 3.5049
_cell_angle_alpha 90.00
_cell_angle_beta 90.00
_cell_angle_gamma 90.00
_symmetry_space_group_name_H-M 'C m m m'
_symmetry_Int_Tables_number 65
_symmetry_space_group_name_Hall '-C 2 2'
loop_
_atom_site_label
_atom_site_type_symbol
_atom_site_fract_x
_atom_site_fract_y
_atom_site_fract_z
_atom_site_occupancy
Ir1 Ir 0.0000 0.0000 0.0000 1
Pb1 Pb 0.0000 0.5000 0.0000 1
Cl1 Cl 0.0000 0.1435 0.5000 1
# - energy relative to the lowest polymorph listed for this composition (eV/atom) = 0.0000

Record 2
The following is a PBE-GGA calculation of Tb12CeNd3 after structural relaxation, from the Alexandria database.

CIF file:
```
data_Tb12CeNd3
_chemical_formula_sum 'Tb12 Ce1 Nd3'
_cell_length_a 5.0650
_cell_length_b 5.0650
_cell_length_c 20.2490
_cell_angle_alpha 90.00
_cell_angle_beta 90.00
_cell_angle_gamma 90.00
_symmetry_space_group_name_H-M 'P 4/m m m'
_symmetry_Int_Tables_number 123
_symmetry_space_group_name_Hall '-P 4 2'
loop_
_atom_site_label
_atom_site_type_symbol
_atom_site_fract_x
_atom_site_fract_y
_atom_site_fract_z
_atom_site_occupancy
Tb1 Tb 0.0000 0.0000 0.0000 1
Tb2 Tb 0.0000 0.0000 0.2493 1
Tb3 Tb 0.0000 0.0000 0.5000 1
Tb4 Tb 0.0000 0.5000 0.1222 1
Tb5 Tb 0.0000 0.5000 0.3740 1
Ce1 Ce 0.5000 0.5000 0.0000 1
Nd1 Nd 0.5000 0.5000 0.2479 1
Nd2 Nd 0.5000 0.5000 0.5000 1
```

Record 3
# CsYMg2 | the Alexandria database | PBE-GGA | optimized geometry
data_CsYMg2
_chemical_formula_sum 'Cs4 Y4 Mg8'
_cell_length_a 9.3446
_cell_length_b 9.3446
_cell_length_c 7.3941
_cell_angle_alpha 90.00
_cell_angle_beta 90.00
_cell_angle_gamma 90.00
_symmetry_space_group_name_H-M 'I -4 2 d'
_symmetry_Int_Tables_number 122
_symmetry_space_group_name_Hall 'I -4 2bw'
loop_
_atom_site_label
_atom_site_type_symbol
_atom_site_fract_x
_atom_site_fract_y
_atom_site_fract_z
_atom_site_occupancy
Cs1 Cs 0.0000 0.0000 0.0000 1
Y1 Y 0.0000 0.0000 0.5000 1
Mg1 Mg 0.2141 0.2500 0.6250 1
# - energy relative to the lowest polymorph listed for this composition (eV/atom) = 0.2017

Record 4
The following is a PBE-GGA calculation of NdNbRu4 after structural relaxation, from the Alexandria database.

CIF file:
```
data_NdNbRu4
_chemical_formula_sum 'Nd4 Nb4 Ru16'
_cell_length_a 7.4571
_cell_length_b 7.4571
_cell_length_c 7.4571
_cell_angle_alpha 90.00
_cell_angle_beta 90.00
_cell_angle_gamma 90.00
_symmetry_space_group_name_H-M 'F -4 3 m'
_symmetry_Int_Tables_number 216
_symmetry_space_group_name_Hall 'F -4 2 3'
loop_
_atom_site_label
_atom_site_type_symbol
_atom_site_fract_x
_atom_site_fract_y
_atom_site_fract_z
_atom_site_occupancy
Nd1 Nd 0.0000 0.0000 0.0000 1
Nb1 Nb 0.2500 0.2500 0.2500 1
Ru1 Ru 0.1246 0.1246 0.6246 1
```

Record 5
# RuCS2Cl | the Alexandria database | PBE-GGA | optimized geometry
data_RuCS2Cl
_chemical_formula_sum 'Ru1 C1 S2 Cl1'
_cell_length_a 4.7614
_cell_length_b 4.7614
_cell_length_c 3.8391
_cell_angle_alpha 90.00
_cell_angle_beta 90.00
_cell_angle_gamma 90.00
_symmetry_space_group_name_H-M 'P 4/m m m'
_symmetry_Int_Tables_number 123
_symmetry_space_group_name_Hall '-P 4 2'
loop_
_atom_site_label
_atom_site_type_symbol
_atom_site_fract_x
_atom_site_fract_y
_atom_site_fract_z
_atom_site_occupancy
Ru1 Ru 0.0000 0.0000 0.0000 1
C1 C 0.0000 0.0000 0.5000 1
S1 S 0.0000 0.5000 0.0000 1
Cl1 Cl 0.5000 0.5000 0.5000 1
# - energy relative to the lowest polymorph listed for this composition (eV/atom) = 0.0000

Record 6
The following is a PBE-GGA calculation of Na2HOsI after structural relaxation, from the Alexandria database.

CIF file:
```
data_Na2HOsI
_chemical_formula_sum 'Na2 H1 Os1 I1'
_cell_length_a 3.9563
_cell_length_b 3.9563
_cell_length_c 6.0101
_cell_angle_alpha 90.00
_cell_angle_beta 90.00
_cell_angle_gamma 90.00
_symmetry_space_group_name_H-M 'P 4/m m m'
_symmetry_Int_Tables_number 123
_symmetry_space_group_name_Hall '-P 4 2'
loop_
_atom_site_label
_atom_site_type_symbol
_atom_site_fract_x
_atom_site_fract_y
_atom_site_fract_z
_atom_site_occupancy
Na1 Na 0.0000 0.5000 0.0000 1
H1 H 0.0000 0.0000 0.0000 1
Os1 Os 0.5000 0.5000 0.5000 1
I1 I 0.0000 0.0000 0.5000 1
```

Record 7
The following is a PBE-GGA calculation of Tc2TeIr after structural relaxation, from the Alexandria database.

CIF file:
```
data_Tc2TeIr
_chemical_formula_sum 'Tc4 Te2 Ir2'
_cell_length_a 3.1722
_cell_length_b 4.4978
_cell_length_c 9.1506
_cell_angle_alpha 90.00
_cell_angle_beta 90.00
_cell_angle_gamma 90.00
_symmetry_space_group_name_H-M 'I m m m'
_symmetry_Int_Tables_number 71
_symmetry_space_group_name_Hall '-I 2 2'
loop_
_atom_site_label
_atom_site_type_symbol
_atom_site_fract_x
_atom_site_fract_y
_atom_site_fract_z
_atom_site_occupancy
Tc1 Tc 0.0000 0.0000 0.2241 1
Te1 Te 0.0000 0.5000 0.5000 1
Ir1 Ir 0.0000 0.5000 0.0000 1
```

Record 8
# K2ReRu | the Alexandria database | PBE-GGA | optimized geometry
data_K2ReRu
_chemical_formula_sum 'K2 Re1 Ru1'
_cell_length_a 2.7032
_cell_length_b 5.8463
_cell_length_c 5.1549
_cell_angle_alpha 90.00
_cell_angle_beta 98.68
_cell_angle_gamma 90.00
_symmetry_space_group_name_H-M 'P 1 2/m 1'
_symmetry_Int_Tables_number 10
loop_
_symmetry_equiv_pos_as_xyz
'x,y,z'
'-x,-y,-z'
'-x,y,-z'
'x,-y,z'
loop_
_atom_site_label
_atom_site_type_symbol
_atom_site_fract_x
_atom_site_fract_y
_atom_site_fract_z
_atom_site_occupancy
K1 K 0.2282 0.0000 0.2532 1
Re1 Re 0.5000 0.5000 0.0000 1
Ru1 Ru 0.0000 0.5000 0.5000 1
# - energy relative to the lowest polymorph listed for this composition (eV/atom) = 0.5934

Record 9
The following is a PBE-GGA calculation of Pr4Ge2TeCl after structural relaxation, from the Alexandria database.

CIF file:
```
data_Pr4Ge2TeCl
_chemical_formula_sum 'Pr16 Ge8 Te4 Cl4'
_cell_length_a 8.7273
_cell_length_b 8.7373
_cell_length_c 12.1860
_cell_angle_alpha 90.00
_cell_angle_beta 90.00
_cell_angle_gamma 90.00
_symmetry_space_group_name_H-M 'F m m m'
_symmetry_Int_Tables_number 69
_symmetry_space_group_name_Hall '-F 2 2'
loop_
_atom_site_label
_atom_site_type_symbol
_atom_site_fract_x
_atom_site_fract_y
_atom_site_fract_z
_atom_site_occupancy
Pr1 Pr 0.0000 0.0000 0.2461 1
Pr2 Pr 0.2500 0.2500 0.0000 1
Ge1 Ge 0.2500 0.2500 0.2500 1
Te1 Te 0.0000 0.0000 0.5000 1
Cl1 Cl 0.0000 0.0000 0.0000 1
```

Record 10
The following is a PBE-GGA calculation of TaSbMo2 after structural relaxation, from the Alexandria database.

CIF file:
```
data_TaSbMo2
_chemical_formula_sum 'Ta2 Sb2 Mo4'
_cell_length_a 5.8804
_cell_length_b 8.9911
_cell_length_c 2.9713
_cell_angle_alpha 90.00
_cell_angle_beta 115.20
_cell_angle_gamma 90.00
_symmetry_space_group_name_H-M 'C 1 2/m 1'
_symmetry_Int_Tables_number 12
loop_
_symmetry_equiv_pos_as_xyz
'x,y,z'
'-x,-y,-z'
'-x,y,-z'
'x,-y,z'
'x+1/2,y+1/2,z'
'-x+1/2,-y+1/2,-z'
'-x+1/2,y+1/2,-z'
'x+1/2,-y+1/2,z'
loop_
_atom_site_label
_atom_site_type_symbol
_atom_site_fract_x
_atom_site_fract_y
_atom_site_fract_z
_atom_site_occupancy
Ta1 Ta 0.0000 0.0000 0.0000 1
Sb1 Sb 0.0000 0.5000 0.0000 1
Mo1 Mo 0.2500 0.2500 0.5000 1
```

Record 11
# YMgAs | the Alexandria database | PBE-GGA | optimized geometry
data_YMgAs
_chemical_formula_sum 'Y1 Mg1 As1'
_cell_length_a 4.4163
_cell_length_b 4.4163
_cell_length_c 3.9544
_cell_angle_alpha 90.00
_cell_angle_beta 90.00
_cell_angle_gamma 120.00
_symmetry_space_group_name_H-M 'P -6 m 2'
_symmetry_Int_Tables_number 187
_symmetry_space_group_name_Hall 'P -6 2'
loop_
_atom_site_label
_atom_site_type_symbol
_atom_site_fract_x
_atom_site_fract_y
_atom_site_fract_z
_atom_site_occupancy
Y1 Y 0.0000 0.0000 0.0000 1
Mg1 Mg 0.3333 0.6667 0.5000 1
As1 As 0.6667 0.3333 0.5000 1
# - energy relative to the lowest polymorph listed for this composition (eV/atom) = 0.1753

Record 12
The following is a PBE-GGA calculation of Th6Te3Pt2Se after structural relaxation, from the Alexandria database.

CIF file:
```
data_Th6Te3Pt2Se
_chemical_formula_sum 'Th12 Te6 Pt4 Se2'
_cell_length_a 7.5028
_cell_length_b 12.9720
_cell_length_c 7.7826
_cell_angle_alpha 90.00
_cell_angle_beta 108.70
_cell_angle_gamma 90.00
_symmetry_space_group_name_H-M 'C 1 2/m 1'
_symmetry_Int_Tables_number 12
loop_
_symmetry_equiv_pos_as_xyz
'x,y,z'
'-x,-y,-z'
'-x,y,-z'
'x,-y,z'
'x+1/2,y+1/2,z'
'-x+1/2,-y+1/2,-z'
'-x+1/2,y+1/2,-z'
'x+1/2,-y+1/2,z'
loop_
_atom_site_label
_atom_site_type_symbol
_atom_site_fract_x
_atom_site_fract_y
_atom_site_fract_z
_atom_site_occupancy
Th1 Th 0.2220 0.0000 0.2115 1
Th2 Th 0.2460 0.3259 0.2161 1
Te1 Te 0.0000 0.0000 0.5000 1
Te2 Te 0.0000 0.3403 0.5000 1
Pt1 Pt 0.0000 0.1674 0.0000 1
Se1 Se 0.0000 0.5000 0.0000 1
```

no.,D(E_F) (states/eV/atom),energy (eV per cell)
1,0.413,-33.32
2,1.456,-75.33
3,0.856,-31.74
4,1.418,-207.16
5,1.376,-23.53
6,0.932,-14.82
7,0.816,-61.72
8,0.816,-18.48
9,0.276,-172.03
10,0.964,-72.92
11,0.099,-14.80
12,0.790,-168.48